First-principles (meta-GGA SCAN) data for a PBEsol-optimized structure of HgMo2P, as listed in the Alexandria database.

CIF file:
```
data_HgMo2P
_symmetry_space_group_name_H-M 'A m m 2'
_symmetry_Int_Tables_number 38
_cell_length_a 4.420
_cell_length_b 2.974
_cell_length_c 10.079
_cell_angle_alpha 90.00
_cell_angle_beta 90.00
_cell_angle_gamma 90.00
loop_
_symmetry_equiv_pos_as_xyz
'x,y,z'
'-x,-y,z'
'-x,y,z'
'x,-y,z'
'x,y+1/2,z+1/2'
'-x,-y+1/2,z+1/2'
'-x,y+1/2,z+1/2'
'x,-y+1/2,z+1/2'
loop_
_atom_site_label
_atom_site_fract_x
_atom_site_fract_y
_atom_site_fract_z
Hg1 0.000 0.000 0.000
Mo1 0.000 0.000 0.736
Mo2 0.500 0.000 0.352
P1 0.500 0.000 0.662
```

Properties
* final energy: -2.7067 Ry per atom
* magnetic moment: 0.00 μB per formula unit
* distance to the lowest polymorph of the same formula: 138 meV/atom

***

First-principles (meta-GGA SCAN) data for a PBEsol-optimized structure of HgMo2P, as listed in the Alexandria database.

CIF file:
```
data_HgMo2P
_symmetry_space_group_name_H-M 'P 4/m m m'
_symmetry_Int_Tables_number 123
_symmetry_space_group_name_Hall '-P 4 2'
_cell_length_a 4.468
_cell_length_b 4.468
_cell_length_c 3.056
_cell_angle_alpha 90.00
_cell_angle_beta 90.00
_cell_angle_gamma 90.00
loop_
_atom_site_label
_atom_site_fract_x
_atom_site_fract_y
_atom_site_fract_z
Hg1 0.000 0.000 0.000
Mo1 0.000 0.500 0.500
P1 0.500 0.500 0.000
```

Properties
* final energy: -2.6880 Ry per atom
* magnetic moment: 0.00 μB per formula unit
* distance to the lowest polymorph of the same formula: 394 meV/atom

***

First-principles (meta-GGA SCAN) data for a PBEsol-optimized structure of Hg2MoP, as listed in the Alexandria database.

CIF file:
```
data_Hg2MoP
_symmetry_space_group_name_H-M 'C m m 2'
_symmetry_Int_Tables_number 35
_cell_length_a 3.290
_cell_length_b 4.627
_cell_length_c 10.286
_cell_angle_alpha 90.00
_cell_angle_beta 90.00
_cell_angle_gamma 90.00
loop_
_symmetry_equiv_pos_as_xyz
'x,y,z'
'-x,-y,z'
'-x,y,z'
'x,-y,z'
'x+1/2,y+1/2,z'
'-x+1/2,-y+1/2,z'
'-x+1/2,y+1/2,z'
'x+1/2,-y+1/2,z'
loop_
_atom_site_label
_atom_site_fract_x
_atom_site_fract_y
_atom_site_fract_z
Hg1 0.000 0.000 0.000
Hg2 0.000 0.500 0.297
Mo1 0.000 0.500 0.762
P1 0.000 0.000 0.596
```

Properties
* final energy: -3.3160 Ry per atom
* magnetic moment: 0.00 μB per formula unit
* distance to the lowest polymorph of the same formula: 0 meV/atom

***

First-principles (meta-GGA SCAN) data for a PBEsol-optimized structure of HgMoPb2, as listed in the Alexandria database.

CIF file:
```
data_HgMoPb2
_symmetry_space_group_name_H-M 'P 4/m m m'
_symmetry_Int_Tables_number 123
_symmetry_space_group_name_Hall '-P 4 2'
_cell_length_a 3.708
_cell_length_b 3.708
_cell_length_c 6.360
_cell_angle_alpha 90.00
_cell_angle_beta 90.00
_cell_angle_gamma 90.00
loop_
_atom_site_label
_atom_site_fract_x
_atom_site_fract_y
_atom_site_fract_z
Hg1 0.000 0.000 0.000
Mo1 0.000 0.000 0.500
Pb1 0.500 0.500 0.266
```

Properties
* final energy: -4.6355 Ry per atom
* magnetic moment: 0.00 μB per formula unit

***

First-principles (meta-GGA SCAN) data for a PBEsol-optimized structure of HgMoPb, as listed in the Alexandria database.

CIF file:
```
data_HgMoPb
_symmetry_space_group_name_H-M 'F m m 2'
_symmetry_Int_Tables_number 42
_symmetry_space_group_name_Hall 'F 2 -2'
_cell_length_a 3.883
_cell_length_b 4.524
_cell_length_c 14.688
_cell_angle_alpha 90.00
_cell_angle_beta 90.00
_cell_angle_gamma 90.00
loop_
_atom_site_label
_atom_site_fract_x
_atom_site_fract_y
_atom_site_fract_z
Hg1 0.000 0.000 0.000
Mo1 0.000 0.000 0.360
Pb1 0.000 0.000 0.706
```

Properties
* final energy: -4.3296 Ry per atom
* magnetic moment: 0.00 μB per formula unit
* distance to the lowest polymorph of the same formula: 0 meV/atom

***

First-principles (meta-GGA SCAN) data for a PBEsol-optimized structure of HgMoPb2, as listed in the Alexandria database.

CIF file:
```
data_HgMoPb2
_symmetry_space_group_name_H-M 'C m m 2'
_symmetry_Int_Tables_number 35
_cell_length_a 4.187
_cell_length_b 4.531
_cell_length_c 9.712
_cell_angle_alpha 90.00
_cell_angle_beta 90.00
_cell_angle_gamma 90.00
loop_
_symmetry_equiv_pos_as_xyz
'x,y,z'
'-x,-y,z'
'-x,y,z'
'x,-y,z'
'x+1/2,y+1/2,z'
'-x+1/2,-y+1/2,z'
'-x+1/2,y+1/2,z'
'x+1/2,-y+1/2,z'
loop_
_atom_site_label
_atom_site_fract_x
_atom_site_fract_y
_atom_site_fract_z
Hg1 0.000 0.000 0.000
Mo1 0.000 0.500 0.801
Pb1 0.000 0.000 0.581
Pb2 0.000 0.500 0.255
```

Properties
* final energy: -4.6392 Ry per atom
* magnetic moment: 0.32 μB per formula unit

***

First-principles (meta-GGA SCAN) data for a PBEsol-optimized structure of HgMoPb, as listed in the Alexandria database.

CIF file:
```
data_HgMoPb
_symmetry_space_group_name_H-M 'F -4 3 m'
_symmetry_Int_Tables_number 216
_symmetry_space_group_name_Hall 'F -4 2 3'
_cell_length_a 6.582
_cell_length_b 6.582
_cell_length_c 6.582
_cell_angle_alpha 90.00
_cell_angle_beta 90.00
_cell_angle_gamma 90.00
loop_
_atom_site_label
_atom_site_fract_x
_atom_site_fract_y
_atom_site_fract_z
Hg1 0.000 0.000 0.000
Mo1 0.250 0.250 0.750
Pb1 0.000 0.000 0.500
```

Properties
* final energy: -4.3256 Ry per atom
* magnetic moment: 2.48 μB per formula unit
* distance to the lowest polymorph of the same formula: 54 meV/atom

***

First-principles (meta-GGA SCAN) data for a PBEsol-optimized structure of HgMoPb, as listed in the Alexandria database.

CIF file:
```
data_HgMoPb
_symmetry_space_group_name_H-M 'I m m 2'
_symmetry_Int_Tables_number 44
_cell_length_a 3.113
_cell_length_b 3.910
_cell_length_c 10.034
_cell_angle_alpha 90.00
_cell_angle_beta 90.00
_cell_angle_gamma 90.00
loop_
_symmetry_equiv_pos_as_xyz
'x,y,z'
'-x,-y,z'
'-x,y,z'
'x,-y,z'
'x+1/2,y+1/2,z+1/2'
'-x+1/2,-y+1/2,z+1/2'
'-x+1/2,y+1/2,z+1/2'
'x+1/2,-y+1/2,z+1/2'
loop_
_atom_site_label
_atom_site_fract_x
_atom_site_fract_y
_atom_site_fract_z
Hg1 0.000 0.000 0.000
Mo1 0.000 0.000 0.355
Pb1 0.000 0.000 0.689
```

Properties
* final energy: -4.3218 Ry per atom
* magnetic moment: 1.44 μB per formula unit
* distance to the lowest polymorph of the same formula: 106 meV/atom

***

First-principles (meta-GGA SCAN) data for a PBEsol-optimized structure of HgMoPb2, as listed in the Alexandria database.

CIF file:
```
data_HgMoPb2
_symmetry_space_group_name_H-M 'I 4/m m m'
_symmetry_Int_Tables_number 139
_symmetry_space_group_name_Hall '-I 4 2'
_cell_length_a 4.455
_cell_length_b 4.455
_cell_length_c 8.951
_cell_angle_alpha 90.00
_cell_angle_beta 90.00
_cell_angle_gamma 90.00
loop_
_atom_site_label
_atom_site_fract_x
_atom_site_fract_y
_atom_site_fract_z
Hg1 0.000 0.000 0.000
Mo1 0.000 0.000 0.500
Pb1 0.000 0.500 0.250
```

Properties
* final energy: -4.6277 Ry per atom
* magnetic moment: 2.14 μB per formula unit

***

First-principles (meta-GGA SCAN) data for a PBEsol-optimized structure of TaHgMo2Pb, as listed in the Alexandria database.

CIF file:
```
data_TaHgMo2Pb
_symmetry_space_group_name_H-M 'P 4/m m m'
_symmetry_Int_Tables_number 123
_symmetry_space_group_name_Hall '-P 4 2'
_cell_length_a 4.743
_cell_length_b 4.743
_cell_length_c 5.318
_cell_angle_alpha 90.00
_cell_angle_beta 90.00
_cell_angle_gamma 90.00
loop_
_atom_site_label
_atom_site_fract_x
_atom_site_fract_y
_atom_site_fract_z
Ta1 0.000 0.000 0.000
Hg1 0.000 0.000 0.500
Mo1 0.000 0.500 0.000
Pb1 0.500 0.500 0.500
```

Properties
* final energy: -4.0084 Ry per atom
* magnetic moment: 3.20 μB per formula unit

***

First-principles (meta-GGA SCAN) data for a PBEsol-optimized structure of RbRe2HgMo, as listed in the Alexandria database.

CIF file:
```
data_RbRe2HgMo
_symmetry_space_group_name_H-M 'P 4/m m m'
_symmetry_Int_Tables_number 123
_symmetry_space_group_name_Hall '-P 4 2'
_cell_length_a 4.659
_cell_length_b 4.659
_cell_length_c 5.216
_cell_angle_alpha 90.00
_cell_angle_beta 90.00
_cell_angle_gamma 90.00
loop_
_atom_site_label
_atom_site_fract_x
_atom_site_fract_y
_atom_site_fract_z
Rb1 0.000 0.000 0.000
Re1 0.000 0.500 0.000
Hg1 0.000 0.000 0.500
Mo1 0.500 0.500 0.500
```

Properties
* final energy: -3.6181 Ry per atom
* magnetic moment: 1.30 μB per formula unit

***

First-principles (meta-GGA SCAN) data for a PBEsol-optimized structure of ReHgMo2, as listed in the Alexandria database.

CIF file:
```
data_ReHgMo2
_symmetry_space_group_name_H-M 'P m m m'
_symmetry_Int_Tables_number 47
_cell_length_a 2.866
_cell_length_b 3.960
_cell_length_c 5.685
_cell_angle_alpha 90.00
_cell_angle_beta 90.00
_cell_angle_gamma 90.00
loop_
_symmetry_equiv_pos_as_xyz
'x,y,z'
'-x,-y,-z'
'-x,-y,z'
'x,y,-z'
'x,-y,-z'
'-x,y,z'
'-x,y,-z'
'x,-y,z'
loop_
_atom_site_label
_atom_site_fract_x
_atom_site_fract_y
_atom_site_fract_z
Re1 0.000 0.000 0.000
Hg1 0.000 0.000 0.500
Mo1 0.500 0.500 0.217
```

Properties
* final energy: -3.8159 Ry per atom
* magnetic moment: 0.00 μB per formula unit

***

Calculated density of states at the Fermi level in order - 2.2, 3.1, 2.2, 2.4, 2.2, 2.6, 1.3, 2.4, 2.2, 4.6, 4.3, 2.4 states/eV/f.u.